Entry from Alexandria: an optimized crystal structure of Sr3TaCoO7 (GGA+U).

Cell: 3.9644 3.9644 10.8856 Å, 100.49 100.49 90.00°
Site moments in Bohr magnetons follow the coordinates.
Element x y z (fractional)
Sr  0.6797  0.6797  0.3594  0.00
Sr  0.5184  0.5184  0.0367  0.00
Sr  0.3066  0.3066  0.6132  -0.01
Ta  0.9037  0.9037  0.8074  0.00
O  0.1962  0.1962  0.3923  -0.10
O  0.8994  0.3994  0.7989  0.00
O  0.8061  0.8061  0.6121  0.00
O  0.3994  0.8994  0.7989  0.00
O  0.9953  0.9953  0.9905  -0.01
O  0.5963  0.0963  0.1927  -0.01
O  0.0963  0.5963  0.1927  -0.01
Co  0.1011  0.1011  0.2022  2.10

Density of states at the Fermi level ... 0.40 states/eV/cell
Distance to the lowest polymorph of the same formula ... 21 meV per atom
Crystal system ... tetragonal
Mass density ... 6.17 g/cm³
Calculated total energy ... -7.251 eV/atom